# 1
Below is a relaxed ZrBeTc4 crystal, with properties calculated at the PBE level.

Values from the calculation:
The value obtained for the total DFT energy (no corrections) is -8.840 eV/atom. Its crystal system is cubic. As for the energy relative to the elements: 116 meV per atom. For the density of states at the Fermi level, the calculation gives 19.40 states/eV/cell. The calculated density comes out at 8.4 Mg/m³.

Cell: 7.2925 7.2925 7.2925 Å, 90.00 90.00 90.00°
Space group F-43m (No. 216)
Asymmetric unit:
Zr 0.0000 0.0000 0.0000 x4
Be 0.2500 0.2500 0.7500 x4
Tc 0.1240 0.1240 0.3760 x16

# 2
Below is a relaxed Ho6SbAs2S3 crystal, with properties calculated at the PBE level.

Values from the calculation:
The value obtained for the total DFT energy (no corrections) is -6.112 eV/atom. Its crystal system is monoclinic. For the density of states at the Fermi level, the calculation gives 8.35 states/eV/cell. The calculated density comes out at 8.0 Mg/m³.

Cell: 17.6145 4.0489 8.0836 Å, 90.00 102.89 90.00°
Space group C2/m (No. 12)
Asymmetric unit:
Ho 0.9998 0.0000 0.2308 x4
Ho 0.1673 0.5000 0.0830 x4
Ho 0.1735 0.5000 0.5880 x4
Sb 0.0000 0.5000 0.5000 x2
As 0.1670 0.0000 0.8335 x4
S 0.0000 0.5000 0.0000 x2
S 0.1653 0.0000 0.3319 x4

# 3
Below is a relaxed CaEuAs crystal, with properties calculated at the PBE level.

Values from the calculation:
The value obtained for the total DFT energy (no corrections) is -6.378 eV/atom. Its crystal system is tetragonal. The energy above the most stable polymorph in this dataset is 0.50 eV per formula unit. As for the energy relative to the elements: -737 meV per atom. For the density of states at the Fermi level, the calculation gives 5.40 states/eV/cell. The calculated density comes out at 4.7 Mg/m³.

Cell: 3.7824 3.7824 13.2848 Å, 90.00 90.00 90.00°
Space group I4mm (No. 107)
Asymmetric unit:
Ca 0.0000 0.0000 0.0000 x2
Eu 0.0000 0.0000 0.2411 x2
As 0.0000 0.0000 0.6169 x2